Entry w
Below is a relaxed structure of CeCdTc, with properties calculated at the PBE level.

Lattice parameters (Å, degrees): 8.6191 4.0946 7.9578 90.00 95.94 90.00
Closest atoms and distances in Å follow each position.
Atoms (fractional coordinates):
Ce: 0.0143 0.0000 0.2145  3 Tc 2.90-3.16, 3 Cd 3.17-3.18
Ce: 0.4857 0.5000 0.7855  3 Tc 2.90-3.16, 3 Cd 3.17-3.18
Ce: 0.5143 0.5000 0.2145  3 Tc 2.90-3.16, 3 Cd 3.17-3.18
Ce: 0.9857 0.0000 0.7855  3 Tc 2.90-3.16, 3 Cd 3.17-3.18
Cd: 0.1586 0.5000 0.5628  3 Cd 2.81-2.83
Cd: 0.3414 0.0000 0.4372  3 Cd 2.81-2.83
Cd: 0.6586 0.0000 0.5628  3 Cd 2.81-2.83
Cd: 0.8414 0.5000 0.4372  3 Cd 2.81-2.83
Tc: 0.1753 0.5000 0.9645  2 Tc 2.45
Tc: 0.3247 0.0000 0.0355  2 Tc 2.45
Tc: 0.6753 0.0000 0.9645  2 Tc 2.45
Tc: 0.8247 0.5000 0.0355  2 Tc 2.45

Results
symmetry	C2/m
density	8.33	g/cm³

Entry x
Below is a relaxed structure of CeCdTc, with properties calculated at the PBE level.

Lattice parameters (Å, degrees): 3.9047 3.9047 9.7727 90.00 90.00 90.00
Closest atoms and distances in Å follow each position.
Atoms (fractional coordinates):
Ce: 0.2500 0.2500 0.1974  1 Tc 2.27
Ce: 0.7500 0.7500 0.8026  1 Tc 2.27
Cd: 0.2500 0.7500 0.5000  4 Cd 2.76
Cd: 0.7500 0.2500 0.5000  4 Cd 2.76
Tc: 0.2500 0.2500 0.9652  1 Ce 2.27
Tc: 0.7500 0.7500 0.0348  1 Ce 2.27

Results
symmetry	P4/nmm
density	7.81	g/cm³

entry w is the most stable structure shown above.